Entry 1:
This record from OQMD describes NaPaIn after structural relaxation. The functional is PBE-GGA.

Summary:
V: 94 Å³/f.u.
ρ: 6.52 g/cm³
crystal system: cubic
relative energy among the computed polymorphs: 0.0 kJ per mole of atoms
spin magnetization: 0.33 μB per atom

Cell: 7.2149 7.2149 7.2149 Å, 90.00 90.00 90.00°
Last column: nearest neighbours and their distance in Å.
Space group F-43m (No. 216)
One atom of each set of equivalent atoms:
Na 0.0000 0.0000 0.0000 (multiplicity 4)  4 In 3.12
Pa 0.0000 0.0000 0.5000 (multiplicity 4)  4 In 3.12
In 0.2500 0.2500 0.2500 (multiplicity 4)  4 Na 3.12, 4 Pa 3.12


Entry 2:
This record from OQMD describes Na4InPd2Pb after structural relaxation. The functional is PBE-GGA.

Summary:
V: 166 Å³/f.u.
ρ: 6.28 g/cm³
raw total energy: -2.933 eV/atom
crystal system: tetragonal

Cell: 4.8975 4.8975 6.9053 Å, 90.00 90.00 90.00°
Last column: nearest neighbours and their distance in Å.
Space group P-4m2 (No. 115)
One atom of each set of equivalent atoms:
Na 0.0000 0.0000 0.0000 (multiplicity 1)  4 Pd 2.97, 4 Na 2.98
Na 0.0000 0.5000 0.2450 (multiplicity 2)  2 In 2.98, 4 Na 2.98-3.02, 2 Pb 3.02
Na 0.5000 0.5000 0.5000 (multiplicity 1)  4 Na 3.02, 4 Pd 3.02
In 0.5000 0.5000 0.0000 (multiplicity 1)  4 Pd 2.97, 4 Na 2.98
Pd 0.0000 0.5000 0.7563 (multiplicity 2)  2 In 2.97, 4 Na 2.97-3.02, 2 Pb 3.02
Pb 0.0000 0.0000 0.5000 (multiplicity 1)  4 Na 3.02, 4 Pd 3.02


Entry 3:
This record from OQMD describes Na4InPt2Pb after structural relaxation. The functional is PBE-GGA.

Summary:
V: 163 Å³/f.u.
ρ: 8.19 g/cm³
raw total energy: -3.186 eV/atom
crystal system: tetragonal
spin magnetization: 0.00 μB per atom

Cell: 4.8720 4.8720 6.8726 Å, 90.00 90.00 90.00°
Last column: nearest neighbours and their distance in Å.
Space group P-4m2 (No. 115)
One atom of each set of equivalent atoms:
Na 0.0000 0.0000 0.0000 (multiplicity 1)  4 Pt 3.01, 4 Na 3.02
Na 0.0000 0.5000 0.7413 (multiplicity 2)  4 Na 2.95-3.02, 2 In 2.95, 2 Pb 3.02
Na 0.5000 0.5000 0.5000 (multiplicity 1)  4 Na 2.95, 4 Pt 2.95
In 0.0000 0.0000 0.5000 (multiplicity 1)  4 Na 2.95, 4 Pt 2.95
Pt 0.0000 0.5000 0.2576 (multiplicity 2)  2 In 2.95, 4 Na 2.95-3.01, 2 Pb 3.01
Pb 0.5000 0.5000 0.0000 (multiplicity 1)  4 Pt 3.01, 4 Na 3.02


Entry 4:
This record from OQMD describes Na4Zn2InPb after structural relaxation. The functional is PBE-GGA.

Summary:
V: 186 Å³/f.u.
ρ: 4.87 g/cm³
raw total energy: -1.841 eV/atom
crystal system: tetragonal

Cell: 5.0747 5.0747 7.2170 Å, 90.00 90.00 90.00°
Last column: nearest neighbours and their distance in Å.
Space group P-4m2 (No. 115)
One atom of each set of equivalent atoms:
Na 0.0000 0.0000 0.0000 (multiplicity 1)  4 Zn 3.08, 4 Na 3.10
Na 0.0000 0.5000 0.2476 (multiplicity 2)  2 In 3.10, 4 Na 3.10-3.12, 2 Pb 3.12
Na 0.5000 0.5000 0.5000 (multiplicity 1)  4 Na 3.12, 4 Zn 3.15
Zn 0.0000 0.5000 0.7589 (multiplicity 2)  2 In 3.08, 4 Na 3.08-3.15, 2 Pb 3.15
In 0.5000 0.5000 0.0000 (multiplicity 1)  4 Zn 3.08, 4 Na 3.10
Pb 0.0000 0.0000 0.5000 (multiplicity 1)  4 Na 3.12, 4 Zn 3.15


Entry 5:
This record from OQMD describes NaIn2Pd2 after structural relaxation. The functional is PBE-GGA.

Summary:
V: 112 Å³/f.u.
ρ: 6.93 g/cm³
crystal system: tetragonal
relative energy among the computed polymorphs: 14.6 kJ per mole of atoms

Cell: 4.2423 4.2423 12.4026 Å, 90.00 90.00 90.00°
Last column: nearest neighbours and their distance in Å.
Space group I4/mmm (No. 139)
One atom of each set of equivalent atoms:
Na 0.0000 0.0000 0.0000 (multiplicity 2)  8 In 3.33
In 0.0000 0.0000 0.3830 (multiplicity 4)  4 Pd 2.69, 1 In 2.90
Pd 0.0000 0.5000 0.2500 (multiplicity 4)  4 In 2.69, 4 Pd 3.00


Entry 6:
This record from OQMD describes NaIn2Pd2 after structural relaxation. The functional is PBE-GGA.

Summary:
V: 98 Å³/f.u.
ρ: 7.86 g/cm³
crystal system: tetragonal
relative energy among the computed polymorphs: 0.0 kJ per mole of atoms

Cell: 7.9073 7.9073 3.1474 Å, 90.00 90.00 90.00°
Last column: nearest neighbours and their distance in Å.
Space group P4/mbm (No. 127)
One atom of each set of equivalent atoms:
Na 0.0000 0.0000 0.0000 (multiplicity 2)  4 Pd 3.05, 2 Na 3.15, 8 In 3.38
In 0.1559 0.3441 0.5000 (multiplicity 4)  6 Pd 2.77-2.82
Pd 0.1404 0.6404 0.0000 (multiplicity 4)  6 In 2.77-2.82, 2 Na 3.05


Entry 7:
This record from OQMD describes NaPrIn4Pd2 after structural relaxation. The functional is PBE-GGA.

Summary:
V: 185 Å³/f.u.
ρ: 7.48 g/cm³
raw total energy: -3.932 eV/atom
crystal system: orthorhombic
spin magnetization: 0.00 μB per atom

Cell: 7.8371 4.5341 10.4390 Å, 90.00 90.00 90.00°
Last column: nearest neighbours and their distance in Å.
Space group Amm2 (No. 38)
One atom of each set of equivalent atoms:
Na 0.0000 0.0000 0.0000 (multiplicity 2)  3 Pd 2.90-3.24
Pr 0.5000 0.0000 0.1351 (multiplicity 2)  3 Pd 2.97-3.19
In 0.1917 0.0000 0.7137 (multiplicity 4)  3 Pd 2.80-2.81, 2 In 3.00-3.11
In 0.2930 0.0000 0.4255 (multiplicity 4)  3 Pd 2.77-2.90
Pd 0.0000 0.0000 0.2779 (multiplicity 2)  6 In 2.77-2.80, 1 Na 2.90
Pd 0.5000 0.0000 0.8503 (multiplicity 2)  6 In 2.81-2.90, 1 Pr 2.97


Entry 8:
This record from OQMD describes Na2In4PdPt after structural relaxation. The functional is PBE-GGA.

Summary:
V: 182 Å³/f.u.
ρ: 7.38 g/cm³
raw total energy: -3.479 eV/atom
crystal system: orthorhombic
spin magnetization: 0.00 μB per atom

Cell: 7.9929 4.3537 10.4381 Å, 90.00 90.00 90.00°
Last column: nearest neighbours and their distance in Å.
Space group Amm2 (No. 38)
One atom of each set of equivalent atoms:
Na 0.0000 0.0000 0.0000 (multiplicity 2)  3 Pd 2.96-3.14
Na 0.5000 0.0000 0.1351 (multiplicity 2)  3 Pt 2.96-3.14
In 0.2000 0.0000 0.7100 (multiplicity 4)  2 Pd 2.81, 1 Pt 2.82, 1 In 3.09
In 0.3001 0.0000 0.4240 (multiplicity 4)  2 Pt 2.80, 1 Pd 2.81, 1 In 3.09
Pd 0.0000 0.0000 0.2833 (multiplicity 2)  6 In 2.81, 3 Na 2.96-3.14
Pt 0.5000 0.0000 0.8513 (multiplicity 2)  6 In 2.80-2.82, 3 Na 2.96-3.14


Entry 9:
This record from OQMD describes Na2Sc2In2PdPt after structural relaxation. The functional is PBE-GGA.

Summary:
V: 154 Å³/f.u.
ρ: 7.20 g/cm³
raw total energy: -4.444 eV/atom
crystal system: tetragonal
spin magnetization: 0.00 μB per atom

Cell: 4.7698 4.7698 6.7602 Å, 90.00 90.00 90.00°
Last column: nearest neighbours and their distance in Å.
Space group P-4m2 (No. 115)
One atom of each set of equivalent atoms:
Na 0.0000 0.0000 0.0000 (multiplicity 1)  4 In 2.92, 4 Sc 2.95
Na 0.5000 0.5000 0.5000 (multiplicity 1)  4 Sc 2.90, 4 In 2.93
Sc 0.0000 0.5000 0.7439 (multiplicity 2)  4 Na 2.90-2.95, 2 Pt 2.90, 2 Pd 2.95
In 0.0000 0.5000 0.2482 (multiplicity 2)  2 Pd 2.92, 4 Na 2.92-2.93, 2 Pt 2.93
Pd 0.5000 0.5000 0.0000 (multiplicity 1)  4 In 2.92, 4 Sc 2.95
Pt 0.0000 0.0000 0.5000 (multiplicity 1)  4 Sc 2.90, 4 In 2.93


Entry 10:
This record from OQMD describes NaInPdS3 after structural relaxation. The functional is PBE-GGA.

Summary:
V: 137 Å³/f.u.
ρ: 4.11 g/cm³
raw total energy: -4.109 eV/atom
crystal system: monoclinic

Cell: 7.4793 3.6771 10.2205 Å, 90.00 102.03 90.00°
Last column: nearest neighbours and their distance in Å.
Space group P2_1/m (No. 11)
One atom of each set of equivalent atoms:
Na 0.2411 0.2500 0.2737 (multiplicity 2)  6 S 2.89-3.00
In 0.3125 0.7500 0.8960 (multiplicity 2)  5 S 2.56-2.66
Pd 0.1168 0.2500 0.6049 (multiplicity 2)  4 S 2.33-2.50
S 0.0701 0.2500 0.8400 (multiplicity 2)  1 Pd 2.50, 2 In 2.56
S 0.2143 0.7500 0.4991 (multiplicity 2)  3 Pd 2.33-2.48
S 0.4507 0.7500 0.1480 (multiplicity 2)  3 In 2.57-2.66


Entry 11:
This record from OQMD describes NaInSnPd after structural relaxation. The functional is PBE-GGA.

Summary:
V: 86 Å³/f.u.
ρ: 7.03 g/cm³
crystal system: cubic
relative energy among the computed polymorphs: 10.9 kJ per mole of atoms

Cell: 7.0006 7.0006 7.0006 Å, 90.00 90.00 90.00°
Last column: nearest neighbours and their distance in Å.
Space group F-43m (No. 216)
One atom of each set of equivalent atoms:
Na 0.0000 0.0000 0.0000 (multiplicity 4)  4 Sn 3.03, 4 Pd 3.03
In 0.0000 0.0000 0.5000 (multiplicity 4)  4 Sn 3.03, 4 Pd 3.03
Sn 0.2500 0.2500 0.7500 (multiplicity 4)  4 In 3.03, 4 Na 3.03
Pd 0.2500 0.2500 0.2500 (multiplicity 4)  4 In 3.03, 4 Na 3.03


Entry 12:
This record from OQMD describes NaInSnPd after structural relaxation. The functional is PBE-GGA.

Summary:
V: 86 Å³/f.u.
ρ: 7.01 g/cm³
crystal system: cubic
relative energy among the computed polymorphs: 9.0 kJ per mole of atoms

Cell: 7.0076 7.0076 7.0076 Å, 90.00 90.00 90.00°
Last column: nearest neighbours and their distance in Å.
Space group F-43m (No. 216)
One atom of each set of equivalent atoms:
Na 0.0000 0.0000 0.0000 (multiplicity 4)  4 In 3.03, 4 Pd 3.03
In 0.2500 0.2500 0.7500 (multiplicity 4)  4 Na 3.03, 4 Sn 3.03
Sn 0.0000 0.0000 0.5000 (multiplicity 4)  4 In 3.03, 4 Pd 3.03
Pd 0.2500 0.2500 0.2500 (multiplicity 4)  4 Sn 3.03, 4 Na 3.03